CeMgAgIr (PBE, optimized geometry); crystal system = cubic; magnetic moment = 0.036 μB per atom; volume = 81.3 Å³/f.u.; SG = F-43m (216); VASP energy = -20.5 eV per cell
1.0
0.000 3.438 3.438
3.438 0.000 3.438
3.438 3.438 0.000
Ce Mg Ag Ir
1 1 1 1
direct
0.000 0.000 0.000
0.500 0.500 0.500
0.750 0.750 0.750
0.250 0.250 0.250